A relaxed structure of Pm2Dy2Ho2Er, computed with PBE. Values from VASP.

```
&SYSTEM
  ibrav = 0, nat = 7, ntyp = 4
/
ATOMIC_SPECIES
Pm 145.00 Pm.upf
Ho 164.93 Ho.upf
Dy 162.50 Dy.upf
Er 167.26 Er.upf
CELL_PARAMETERS angstrom
5.671 0.000 0.000
2.835 4.911 0.000
2.835 1.637 8.138
ATOMIC_POSITIONS angstrom
Pm 2.835 1.637 4.755
Pm 8.506 4.911 3.383
Ho 5.671 3.274 5.882
Ho 5.671 3.274 2.256
Dy 2.835 1.637 1.202
Dy 8.506 4.911 6.936
Er 0.000 0.000 0.000
```

Computed properties:
Final energy (eV per atom): -4.4891
Fermi-level density of states (states/eV per atom): 2.59
Symmetry: R-3m
Formation energy from the elements (meV per atom): 143

=====

A relaxed structure of ErTiGa, computed with PBE. Values from VASP.

```
&SYSTEM
  ibrav = 0, nat = 3, ntyp = 3
/
ATOMIC_SPECIES
Ga 69.72 Ga.upf
Er 167.26 Er.upf
Ti 47.87 Ti.upf
CELL_PARAMETERS angstrom
-0.172 -1.744 -3.137
-3.256 -2.694 1.676
-1.113 3.878 -2.096
ATOMIC_POSITIONS angstrom
Ga -0.029 -0.291 -0.523
Er -2.656 -1.666 -1.672
Ti -1.856 1.397 -1.361
```

Computed properties:
Final energy (eV per atom): -5.3436
Fermi-level density of states (states/eV per atom): 0.74
Symmetry: P-6m2
Formation energy from the elements (meV per atom): -182

=====

A relaxed structure of Ge3RuC, computed with PBE. Values from VASP.

```
&SYSTEM
  ibrav = 0, nat = 5, ntyp = 3
/
ATOMIC_SPECIES
Ge 72.64 Ge.upf
Ru 101.07 Ru.upf
C 12.01 C.upf
CELL_PARAMETERS angstrom
4.843 0.000 0.000
0.000 4.843 0.000
0.000 0.000 4.843
ATOMIC_POSITIONS angstrom
Ge 0.000 2.421 0.000
Ge 0.000 0.000 2.421
Ge 2.421 0.000 0.000
Ru 0.000 0.000 0.000
C 2.421 2.421 2.421
```

Computed properties:
Final energy (eV per atom): -5.0757
Fermi-level density of states (states/eV per atom): 0.80
Symmetry: Pm-3m
Formation energy from the elements (meV per atom): 1395

=====

A relaxed structure of CaRhBr, computed with PBE. Values from VASP.

```
&SYSTEM
  ibrav = 0, nat = 12, ntyp = 3
/
ATOMIC_SPECIES
Br 79.90 Br.upf
Rh 102.91 Rh.upf
Ca 40.08 Ca.upf
CELL_PARAMETERS angstrom
6.048 0.000 0.000
0.000 5.682 0.000
0.000 0.000 7.715
ATOMIC_POSITIONS angstrom
Br 1.160 4.261 0.051
Br 4.184 4.261 3.806
Br 1.865 1.420 3.909
Br 4.889 1.420 7.664
Rh 0.317 1.420 1.988
Rh 3.341 1.420 1.869
Rh 2.707 4.261 5.845
Rh 5.731 4.261 5.727
Ca 1.173 4.261 3.246
Ca 4.198 4.261 0.612
Ca 1.851 1.420 7.103
Ca 4.875 1.420 4.469
```

Computed properties:
Final energy (eV per atom): -4.2299
Fermi-level density of states (states/eV per atom): 0.07
Formation energy from raw total energies (meV/atom): -555
Symmetry: Pnma

=====

A relaxed structure of Ho4ReO10, computed with PBE. Values from VASP.

```
&SYSTEM
  ibrav = 0, nat = 15, ntyp = 3
/
ATOMIC_SPECIES
O 16.00 O.upf
Ho 164.93 Ho.upf
Re 186.21 Re.upf
CELL_PARAMETERS angstrom
-3.539 0.924 3.820
-6.115 -0.905 -1.785
-1.428 -5.149 3.584
ATOMIC_POSITIONS angstrom
O -3.453 -4.848 3.290
O -1.069 -1.451 1.015
O -4.656 -2.796 1.855
O -10.012 -3.679 4.604
O -5.392 -4.341 5.383
O -7.629 -0.283 2.329
O -3.009 -0.945 3.109
O -5.689 -0.789 0.236
O -8.073 -4.186 2.510
O -6.425 -2.334 3.764
Ho -3.443 -1.242 0.771
Ho -6.853 -2.414 1.557
Ho -4.229 -2.716 4.062
Ho -7.638 -3.888 4.848
Re 0.000 0.000 0.000
```

Computed properties:
Final energy (eV per atom): -7.9918
Fermi-level density of states (states/eV per atom): 0.57
Formation energy from raw total energies (meV/atom): -2636
Symmetry: I4/m

=====

A relaxed structure of Li4GdTh, computed with PBE. Values from VASP.

```
&SYSTEM
  ibrav = 0, nat = 6, ntyp = 3
/
ATOMIC_SPECIES
Li 6.94 Li.upf
Th 232.04 Th.upf
Gd 157.25 Gd.upf
CELL_PARAMETERS angstrom
5.834 0.000 0.000
2.917 5.052 0.000
2.917 1.684 4.764
ATOMIC_POSITIONS angstrom
Li 7.289 4.208 2.976
Li 5.834 3.368 0.600
Li 5.834 1.689 2.976
Li 4.380 4.208 2.976
Th 0.000 0.000 0.000
Gd 2.917 1.684 1.191
```

Computed properties:
Final energy (eV per atom): -4.6656
Fermi-level density of states (states/eV per atom): 1.30
Symmetry: F-43m
Formation energy from the elements (meV per atom): 194